Entry 1:
GGA-PBE Zr2NbGeI, relaxed; space group = No. 123; magnetic moment = 2.03 μB per formula unit; DFT total energy = -5.2058 eV per atom; crystal system = tetragonal; volume = 143.2 Å³/cell; mass density = 5.506 Mg/m³
1.0
5.222 0.000 0.000
0.000 5.252 0.000
0.000 0.000 5.222
Zr I Ge Nb
2 1 1 1
Cartesian
0.000 0.000 2.611
2.611 0.000 0.000
0.000 0.000 0.000
0.000 2.626 0.000
2.611 2.626 2.611



Entry 2:
GGA-PBE Nd4Ge2I, relaxed; space group = No. 122; magnetic moment = 0.00 μB per formula unit; DFT total energy = -5.0618 eV per atom; crystal system = tetragonal; volume = 397.9 Å³/cell; mass density = 7.088 Mg/m³
1.0
-6.415 3.246 -3.566
-2.394 -4.647 6.089
4.751 5.832 2.797
Nd I Ge
8 2 4
Cartesian
-5.658 -1.490 2.406
1.832 4.659 3.021
-1.212 -1.415 6.051
0.007 0.914 3.019
-1.363 6.283 1.216
-2.245 2.569 -0.453
-3.295 1.426 3.826
-4.296 4.779 2.194
0.000 0.000 0.000
-4.820 1.569 1.069
-3.558 5.165 -1.042
-0.916 1.536 6.170
-2.426 -1.351 3.241
-1.216 3.513 2.272



Entry 3:
GGA-PBE Nd2GeI, relaxed; space group = No. 123; magnetic moment = 0.25 μB per formula unit; DFT total energy = -4.6825 eV per atom; crystal system = tetragonal; volume = 112.5 Å³/cell; mass density = 7.205 Mg/m³
1.0
3.708 0.000 0.000
0.000 3.708 0.000
0.000 0.000 8.180
Nd I Ge
2 1 1
Cartesian
0.000 0.000 1.790
0.000 0.000 6.390
1.854 1.854 4.090
1.854 1.854 0.000



Question: Among the records above, which one has the highest mass density?
Answer: Nd2GeI



Copy entry 1 word for word.
GGA-PBE Zr2NbGeI, relaxed; space group = No. 123; magnetic moment = 2.03 μB per formula unit; DFT total energy = -5.2058 eV per atom; crystal system = tetragonal; volume = 143.2 Å³/cell; mass density = 5.506 Mg/m³
1.0
5.222 0.000 0.000
0.000 5.252 0.000
0.000 0.000 5.222
Zr I Ge Nb
2 1 1 1
Cartesian
0.000 0.000 2.611
2.611 0.000 0.000
0.000 0.000 0.000
0.000 2.626 0.000
2.611 2.626 2.611